Entry from Alexandria: a relaxed structure of FePO4 (PBE+U).

Cell lengths 4.779, 6.583, 8.731 Å; angles 90.00, 90.00, 90.00 degrees
Fractional coordinates of all 24 atoms:
Fe (0.000, 0.000, 0.000)
Fe (0.000, 0.500, 0.000)
Fe (0.500, 0.000, 0.500)
Fe (0.500, 0.500, 0.500)
P (0.472, 0.250, 0.824)
P (0.972, 0.750, 0.676)
P (0.028, 0.250, 0.324)
P (0.528, 0.750, 0.176)
O (0.326, 0.056, 0.880)
O (0.326, 0.444, 0.880)
O (0.782, 0.250, 0.881)
O (0.943, 0.750, 0.856)
O (0.443, 0.250, 0.644)
O (0.282, 0.750, 0.619)
O (0.826, 0.556, 0.620)
O (0.826, 0.944, 0.620)
O (0.174, 0.056, 0.380)
O (0.174, 0.444, 0.380)
O (0.718, 0.250, 0.381)
O (0.557, 0.750, 0.356)
O (0.057, 0.250, 0.144)
O (0.218, 0.750, 0.119)
O (0.674, 0.556, 0.120)
O (0.674, 0.944, 0.120)

Calculated values
SG: Pnma (62)
total DFT energy (no corrections): -169.9 eV for the cell shown